Record 1
## RuRh5 (GGA-PBEsol)

Data for an optimized crystal structure of RuRh5.

Cell lengths 5.963, 5.963, 3.775 Å; angles 90.00, 90.00, 143.11 degrees
Fractional positions:
1 Ru 0.000 0.000 0.000
2 Rh 0.166 0.834 0.500
3 Rh 0.337 0.663 0.000
4 Rh 0.500 0.500 0.500
5 Rh 0.663 0.337 0.000
6 Rh 0.834 0.166 0.500

Output
The value obtained for the total magnetization is 0.000 μB/atom. The value obtained for the volume is 13.43 Å³ per atom. Its crystal system is orthorhombic. As for the space group: Cmmm, No. 65. The calculation puts the energy above the most stable polymorph in this dataset at 0 kJ/mol of formula units. The calculation puts the total energy at -8.470 eV per atom.

---

Record 2
## Sb2TeIrI (GGA-PBEsol)

Data for an optimized crystal structure of Sb2TeIrI.

Cell lengths 5.763, 5.763, 4.746 Å; angles 90.00, 90.00, 90.00 degrees
Fractional positions:
1 Sb 0.000 0.500 0.000
2 Sb 0.500 0.000 0.000
3 Te 0.000 0.000 0.500
4 Ir 0.500 0.500 0.500
5 I 0.500 0.500 0.000

Output
The uncorrected formation energy is 1.4234 eV/atom. The value obtained for the total magnetization is 0.000 μB/atom. The value obtained for the volume is 31.53 Å³ per atom. Its crystal system is tetragonal. As for the space group: P4/mmm, No. 123. The calculation puts the energy above the most stable polymorph in this dataset at 490 kJ/mol of formula units. The calculation puts the total energy at -3.423 eV per atom.

---

Record 3
## OsPb2Br (GGA-PBEsol)

Data for an optimized crystal structure of OsPb2Br.

Cell lengths 9.919, 9.919, 9.919 Å; angles 19.17, 19.17, 19.17 degrees
Fractional positions:
1 Os 0.000 0.000 0.000
2 Pb 0.507 0.507 0.507
3 Pb 0.737 0.737 0.737
4 Br 0.269 0.269 0.269

Output
The uncorrected formation energy is 0.6473 eV/atom. The value obtained for the total magnetization is 0.005 μB/atom. The value obtained for the volume is 23.00 Å³ per atom. Its crystal system is trigonal. As for the space group: R3m, No. 160. The calculation puts the total energy at -4.873 eV per atom.

---

Record 4
## ZnCdIn2 (GGA-PBEsol)

Data for an optimized crystal structure of ZnCdIn2.

Cell lengths 4.277, 4.469, 4.512 Å; angles 90.00, 90.00, 90.00 degrees
Fractional positions:
1 Zn 0.000 0.000 0.000
2 Cd 0.500 0.000 0.500
3 In 0.000 0.500 0.500
4 In 0.500 0.500 0.000

Output
The value obtained for the total magnetization is 0.000 μB/atom. The value obtained for the volume is 21.56 Å³ per atom. Its crystal system is orthorhombic. As for the space group: Pmmm, No. 47. The calculation puts the energy above the most stable polymorph in this dataset at 13 kJ/mol of formula units. The calculation puts the total energy at -2.089 eV per atom.

---

Record 5
## SrScFe2 (GGA-PBEsol)

Data for an optimized crystal structure of SrScFe2.

Cell lengths 3.460, 3.460, 6.703 Å; angles 90.00, 90.00, 90.00 degrees
Fractional positions:
1 Sr 0.000 0.000 0.000
2 Sc 0.000 0.000 0.500
3 Fe 0.500 0.500 0.331
4 Fe 0.500 0.500 0.669

Output
The value obtained for the total magnetization is 0.923 μB/atom. The value obtained for the volume is 20.06 Å³ per atom. Its crystal system is tetragonal. As for the space group: P4/mmm, No. 123. The calculation puts the total energy at -6.226 eV per atom.

---

Record 6
## K2SiAu (GGA-PBEsol)

Data for an optimized crystal structure of K2SiAu.

Cell lengths 9.111, 9.111, 9.111 Å; angles 93.63, 93.63, 150.85 degrees
Fractional positions:
1 K 0.375 0.170 0.295
2 K 0.830 0.125 0.205
3 K 0.875 0.080 0.705
4 K 0.920 0.625 0.795
5 Si 0.250 0.750 0.500
6 Si 0.500 0.500 0.000
7 Au 0.000 0.000 0.000
8 Au 0.750 0.250 0.500

Output
The uncorrected formation energy is -0.0398 eV/atom. The value obtained for the total magnetization is 0.000 μB/atom. The value obtained for the volume is 44.57 Å³ per atom. Its crystal system is tetragonal. As for the space group: I-42d, No. 122. The calculation puts the total energy at -3.024 eV per atom.

---

Record 7
## AlPdSCl2 (GGA-PBEsol)

Data for an optimized crystal structure of AlPdSCl2.

Cell lengths 4.704, 4.704, 4.755 Å; angles 90.00, 90.00, 90.00 degrees
Fractional positions:
1 Al 0.000 0.000 0.000
2 Pd 0.500 0.500 0.500
3 S 0.500 0.500 0.000
4 Cl 0.000 0.500 0.500
5 Cl 0.500 0.000 0.500

Output
The uncorrected formation energy is -0.0673 eV/atom. The value obtained for the total magnetization is 0.000 μB/atom. The value obtained for the volume is 21.05 Å³ per atom. Its crystal system is tetragonal. As for the space group: P4/mmm, No. 123. The calculation puts the total energy at -3.757 eV per atom.

---

Record 8
## NbVCo (GGA-PBEsol)

Data for an optimized crystal structure of NbVCo.

Cell lengths 8.004, 4.798, 4.798 Å; angles 61.15, 90.00, 90.00 degrees
Fractional positions:
1 Nb 0.183 0.000 0.000
2 Nb 0.303 0.330 0.330
3 Nb 0.697 0.330 0.330
4 Nb 0.817 0.000 0.000
5 V 0.000 0.514 0.514
6 V 0.500 0.331 0.833
7 V 0.500 0.833 0.331
8 V 0.500 0.838 0.838
9 Co 0.000 0.021 0.513
10 Co 0.000 0.513 0.021
11 Co 0.244 0.671 0.671
12 Co 0.756 0.671 0.671

Output
The value obtained for the total magnetization is 0.000 μB/atom. The value obtained for the volume is 13.45 Å³ per atom. Its crystal system is orthorhombic. As for the space group: Amm2, No. 38. The calculation puts the total energy at -9.582 eV per atom.